Compound: DyMn2BC
Source: the Alexandria database
Functional: PBE-GGA
Structure: relaxed

a b c (Å): 3.534 5.240 6.703
angles (deg): 90.00 90.00 109.71
Atoms (fractional coordinates):
Dy  0.460  0.920  0.750
Dy  0.540  0.080  0.250
Mn  0.183  0.366  0.939
Mn  0.817  0.634  0.061
Mn  0.183  0.366  0.561
Mn  0.817  0.634  0.439
B  0.735  0.470  0.750
B  0.265  0.530  0.250
C  0.000  0.000  0.000
C  0.000  0.000  0.500

Results
DOS(E_F): 0.762 states/eV per atom
E: -81.31 eV/cell
Calculated formation energy: -362 meV per atom